1.
# Tc2BiSb2, optimized geometry, DFT GGA-PBE
# E_tot ... -6.3193 eV/atom
# Magnetization ... 0.000 μB/atom
data_Tc2BiSb2
_chemical_formula_sum 'Tc4 Bi2 Sb4'
_symmetry_space_group_name_H-M 'P 4/m b m'
_symmetry_Int_Tables_number 127
_symmetry_space_group_name_Hall '-P 4 2ab'
_cell_length_a 7.9091
_cell_length_b 7.9091
_cell_length_c 3.2367
_cell_angle_alpha 90.00
_cell_angle_beta 90.00
_cell_angle_gamma 90.00
loop_
_atom_site_label
_atom_site_fract_x
_atom_site_fract_y
_atom_site_fract_z
_atom_site_occupancy
Tc1 0.1442 0.3558 0.0000 1
Bi1 0.0000 0.0000 0.0000 1
Sb1 0.1453 0.6453 0.5000 1

***

2.
# TcBi4Sb2, optimized geometry, DFT GGA-PBE
# E_tot ... -4.3863 eV/atom
# Magnetization ... 0.000 μB/atom
data_TcBi4Sb2
_chemical_formula_sum 'Tc2 Bi8 Sb4'
_symmetry_space_group_name_H-M 'I 4/m m m'
_symmetry_Int_Tables_number 139
_symmetry_space_group_name_Hall '-I 4 2'
_cell_length_a 5.0978
_cell_length_b 5.0978
_cell_length_c 17.5221
_cell_angle_alpha 90.00
_cell_angle_beta 90.00
_cell_angle_gamma 90.00
loop_
_atom_site_label
_atom_site_fract_x
_atom_site_fract_y
_atom_site_fract_z
_atom_site_occupancy
Tc1 0.0000 0.0000 0.0000 1
Bi1 0.0000 0.0000 0.1631 1
Bi2 0.0000 0.5000 0.0000 1
Sb1 0.0000 0.0000 0.3464 1

***

3.
# Tc2BiSb, optimized geometry, DFT GGA-PBE
# E_tot ... -6.7994 eV/atom
# Magnetization ... 0.000 μB/atom
data_Tc2BiSb
_chemical_formula_sum 'Tc8 Bi4 Sb4'
_symmetry_space_group_name_H-M 'F m -3 m'
_symmetry_Int_Tables_number 225
_symmetry_space_group_name_Hall '-F 4 2 3'
_cell_length_a 6.6430
_cell_length_b 6.6430
_cell_length_c 6.6430
_cell_angle_alpha 90.00
_cell_angle_beta 90.00
_cell_angle_gamma 90.00
loop_
_atom_site_label
_atom_site_fract_x
_atom_site_fract_y
_atom_site_fract_z
_atom_site_occupancy
Tc1 0.2500 0.2500 0.2500 1
Bi1 0.0000 0.0000 0.0000 1
Sb1 0.0000 0.0000 0.5000 1

***

4.
# TcBiSb, optimized geometry, DFT GGA-PBE
# E_tot ... -5.8223 eV/atom
# Magnetization ... 0.000 μB/atom
data_TcBiSb
_chemical_formula_sum 'Tc4 Bi4 Sb4'
_symmetry_space_group_name_H-M 'P 21 21 21'
_symmetry_Int_Tables_number 19
_cell_length_a 3.3512
_cell_length_b 6.7361
_cell_length_c 12.6959
_cell_angle_alpha 90.00
_cell_angle_beta 90.00
_cell_angle_gamma 90.00
loop_
_symmetry_equiv_pos_as_xyz
'x,y,z'
'-x+1/2,-y,z+1/2'
'x+1/2,-y+1/2,-z'
'-x,y+1/2,-z+1/2'
loop_
_atom_site_label
_atom_site_fract_x
_atom_site_fract_y
_atom_site_fract_z
_atom_site_occupancy
Tc1 0.0018 0.0822 0.3636 1
Bi1 0.9999 0.2448 0.7977 1
Sb1 0.0020 0.4402 0.4685 1

***

5.
# TcBiSbTe2, optimized geometry, DFT GGA-PBE
# E_tot ... -4.4892 eV/atom
# Magnetization ... 0.000 μB/atom
data_TcBiSbTe2
_chemical_formula_sum 'Tc1 Bi1 Sb1 Te2'
_symmetry_space_group_name_H-M 'P 4/m m m'
_symmetry_Int_Tables_number 123
_symmetry_space_group_name_Hall '-P 4 2'
_cell_length_a 5.2538
_cell_length_b 5.2538
_cell_length_c 5.1918
_cell_angle_alpha 90.00
_cell_angle_beta 90.00
_cell_angle_gamma 90.00
loop_
_atom_site_label
_atom_site_fract_x
_atom_site_fract_y
_atom_site_fract_z
_atom_site_occupancy
Tc1 0.0000 0.0000 0.0000 1
Bi1 0.5000 0.5000 0.5000 1
Sb1 0.0000 0.0000 0.5000 1
Te1 0.0000 0.5000 0.0000 1

***

6.
# TcBiSb2Te, optimized geometry, DFT GGA-PBE
# E_tot ... -4.6997 eV/atom
# Magnetization ... 0.000 μB/atom
data_TcBiSb2Te
_chemical_formula_sum 'Tc1 Bi1 Sb2 Te1'
_symmetry_space_group_name_H-M 'P 4/m m m'
_symmetry_Int_Tables_number 123
_symmetry_space_group_name_Hall '-P 4 2'
_cell_length_a 5.0544
_cell_length_b 5.0544
_cell_length_c 5.6928
_cell_angle_alpha 90.00
_cell_angle_beta 90.00
_cell_angle_gamma 90.00
loop_
_atom_site_label
_atom_site_fract_x
_atom_site_fract_y
_atom_site_fract_z
_atom_site_occupancy
Tc1 0.0000 0.0000 0.0000 1
Bi1 0.5000 0.5000 0.5000 1
Sb1 0.0000 0.5000 0.0000 1
Te1 0.0000 0.0000 0.5000 1

***

7.
# Y2TcBiSb, optimized geometry, DFT GGA-PBE
# E_tot ... -5.9447 eV/atom
# Magnetization ... 0.074 μB/atom
data_Y2TcBiSb
_chemical_formula_sum 'Y2 Tc1 Bi1 Sb1'
_symmetry_space_group_name_H-M 'P 4/m m m'
_symmetry_Int_Tables_number 123
_symmetry_space_group_name_Hall '-P 4 2'
_cell_length_a 5.6647
_cell_length_b 5.6647
_cell_length_c 4.8887
_cell_angle_alpha 90.00
_cell_angle_beta 90.00
_cell_angle_gamma 90.00
loop_
_atom_site_label
_atom_site_fract_x
_atom_site_fract_y
_atom_site_fract_z
_atom_site_occupancy
Y1 0.0000 0.5000 0.0000 1
Tc1 0.0000 0.0000 0.5000 1
Bi1 0.5000 0.5000 0.5000 1
Sb1 0.0000 0.0000 0.0000 1

***

8.
# Bi2SbTe2, optimized geometry, DFT GGA-PBE
# E_tot ... -3.5488 eV/atom
# Magnetization ... 0.000 μB/atom
data_Bi2SbTe2
_chemical_formula_sum 'Bi4 Sb2 Te4'
_symmetry_space_group_name_H-M 'P 4/m b m'
_symmetry_Int_Tables_number 127
_symmetry_space_group_name_Hall '-P 4 2ab'
_cell_length_a 8.8771
_cell_length_b 8.8771
_cell_length_c 4.1221
_cell_angle_alpha 90.00
_cell_angle_beta 90.00
_cell_angle_gamma 90.00
loop_
_atom_site_label
_atom_site_fract_x
_atom_site_fract_y
_atom_site_fract_z
_atom_site_occupancy
Bi1 0.1803 0.3197 0.0000 1
Sb1 0.0000 0.0000 0.0000 1
Te1 0.1427 0.6427 0.5000 1